This record from Alexandria via LeMat-Bulk describes crystalline GdPaIrPt at its relaxed geometry. The functional is PBE.

Unit cell a=4.9440 b=4.9440 c=4.9440 alpha=60.00 beta=60.00 gamma=60.00
Closest atoms and distances in Å follow each position.
Positions (direct):
Gd: 0.5000 0.5000 0.5000  4 Ir 3.03, 4 Pt 3.03
Pa: 0.0000 0.0000 0.0000  4 Ir 3.03, 4 Pt 3.03
Pt: 0.2500 0.2500 0.2500  4 Pa 3.03, 4 Gd 3.03
Ir: 0.7500 0.7500 0.7500  4 Gd 3.03, 4 Pa 3.03

DFT total energy = -10.41 eV per atom
space group = F-43m, No. 216
DFT formation energy = -0.786 eV/atom